VASP calculation (PBE-GGA) on a geometry-optimized Ta5NbRe6 structure.

Magnetization   0.00 μB per cell
Calculated formation energy   -0.394 eV per atom
Calculated volume   16.414 Å³/atom

```
Ta5NbRe6
1.0
3.9226 -6.7835 0.0000
3.9226 6.7835 0.0000
-2.6132 0.0000 3.7013
Ta Nb Re
5 1 6
Direct
0.0000 0.0000 0.0000
0.1665 0.8335 0.5000
0.3331 0.6669 0.0000
0.6669 0.3331 0.0000
0.8335 0.1665 0.5000
0.5000 0.5000 0.5000
0.0831 0.4167 0.2498
0.2496 0.2496 0.7497
0.4167 0.0831 0.2498
0.5833 0.9169 0.7502
0.7504 0.7504 0.2503
0.9169 0.5833 0.7502
```